1.
## VCuSO (GGA+U)

Data for an optimized crystal structure of VCuSO.

Unit cell a=13.0785 b=3.2219 c=5.7370 alpha=90.00 beta=105.58 gamma=90.00
Last column: nearest neighbours and their distance in Å.
Space group C2/m (No. 12)
Inequivalent atoms, fractional coordinates:
V: 0.0000 0.0000 0.0000  2 O 2.06
V: 0.0000 0.5000 0.5000  4 O 2.07
Cu: 0.2164 0.0000 0.7872  1 O 1.88
S: 0.1233 0.5000 0.2311  1 Cu 2.13
O: 0.0674 0.0000 0.7132  1 Cu 1.88, 3 V 2.06-2.07

## Properties
Theoretical density: 4.6 g/cm3
N(E_F): 0.0 states/eV/cell
Relative energy among the computed polymorphs: 33 meV/atom

2.
## CuWSO (GGA+U)

Data for an optimized crystal structure of CuWSO.

Unit cell a=3.4019 b=3.4019 c=10.4358 alpha=90.00 beta=90.00 gamma=90.00
Last column: nearest neighbours and their distance in Å.
Space group P4/nmm (No. 129, origin choice 2)
Inequivalent atoms, fractional coordinates:
Cu: 0.2500 0.7500 0.0000  4 Cu 2.41
W: 0.2500 0.2500 0.3765  4 O 2.13
S: 0.2500 0.2500 0.7548  4 W 2.77, 4 Cu 3.07
O: 0.2500 0.7500 0.5000  4 W 2.13

## Properties
Theoretical density: 8.1 g/cm3
N(E_F): 2.0 states/eV/cell
Relative energy among the computed polymorphs: 73 meV/atom

3.
## CuWSO (GGA+U)

Data for an optimized crystal structure of CuWSO.

Unit cell a=12.8094 b=3.0835 c=6.3670 alpha=90.00 beta=96.10 gamma=90.00
Last column: nearest neighbours and their distance in Å.
Space group Cm (No. 8)
Inequivalent atoms, fractional coordinates:
Cu: 0.0000 0.0000 0.0000  1 O 2.01, 1 S 2.22
Cu: 0.2224 0.5000 0.7432  1 O 2.08, 2 S 2.21-2.24
W: 0.1643 0.0000 0.3425  2 O 2.02
W: 0.3559 0.0000 0.4106  2 O 2.05
S: 0.1398 0.5000 0.0357  3 Cu 2.24-2.36, 2 W 2.48
S: 0.3915 0.5000 0.7042  2 Cu 2.21-2.22, 2 W 2.43
O: 0.1035 0.5000 0.4937  2 W 2.02, 1 Cu 2.08
O: 0.4112 0.5000 0.2428  1 Cu 2.01, 2 W 2.05

## Properties
Theoretical density: 7.8 g/cm3
N(E_F): 0.1 states/eV/cell
Relative energy among the computed polymorphs: 0 meV/atom

4.
## CuWSO (GGA+U)

Data for an optimized crystal structure of CuWSO.

Unit cell a=11.5912 b=3.2035 c=7.6444 alpha=90.00 beta=122.62 gamma=90.00
Last column: nearest neighbours and their distance in Å.
Space group Cm (No. 8)
Inequivalent atoms, fractional coordinates:
Cu: 0.0000 0.0000 0.0000  2 O 2.00-2.11
Cu: 0.1503 0.5000 0.5053  1 O 2.25, 3 S 2.25-2.35
W: 0.3360 0.0000 0.2460  2 O 2.01
W: 0.4608 0.0000 0.6188  2 O 2.07
S: 0.1475 0.0000 0.7278  2 Cu 2.35, 2 W 2.45
S: 0.1596 0.5000 0.2189  3 Cu 2.25-2.33, 2 W 2.52
O: 0.3805 0.5000 0.6904  1 Cu 2.00, 2 W 2.07
O: 0.3921 0.5000 0.1504  2 W 2.01, 1 Cu 2.11

## Properties
Theoretical density: 8.2 g/cm3
N(E_F): 0.2 states/eV/cell
Relative energy among the computed polymorphs: 9 meV/atom